Crystalline Pu3Pa2Ga2 at its relaxed geometry. Source: Alexandria via LeMat-Bulk, functional GGA-PBE.

a = 9.545 Å, b = 4.952 Å, c = 7.437 Å
α = 90.00°, β = 118.69°, γ = 90.00°
Space group C2/m (No. 12)
Unique sites:
Pu 0.000 0.000 0.000 x2
Pu 0.233 0.000 0.336 x4
Pa 0.188 0.000 0.793 x4
Ga 0.004 0.500 0.226 x4

## Properties
Theoretical density   14362 kg/m3
DFT formation energy   -0.161 eV per atom



Crystalline AcHo2Ge at its relaxed geometry. Source: Alexandria via LeMat-Bulk, functional GGA-PBE.

a = 4.0620 Å, b = 4.0620 Å, c = 28.2638 Å
α = 90.00°, β = 90.00°, γ = 120.00°
Space group R3m (No. 160, hexagonal axes)
Unique sites:
Ac 0.0000 0.0000 0.0000 x3
Ho 0.0000 0.0000 0.5533 x3
Ho 0.0000 0.0000 0.7741 x3
Ge 0.0000 0.0000 0.1631 x3

## Properties
Theoretical density   7765 kg/m3
DFT formation energy   -0.280 eV per atom



Crystalline ZrSiMo2 at its relaxed geometry. Source: Alexandria via LeMat-Bulk, functional GGA-PBE.

a = 2.845 Å, b = 4.676 Å, c = 5.088 Å
α = 90.00°, β = 90.24°, γ = 90.00°
Space group P2/m (No. 10)
Unique sites:
Zr 0.000 0.000 0.000 x1
Si 0.500 0.000 0.500 x1
Mo 0.343 0.500 0.737 x2

## Properties
Theoretical density   7635 kg/m3
E_form (uncorrected)   -0.0372 eV per atom



Crystalline Hg2OsCl at its relaxed geometry. Source: Alexandria via LeMat-Bulk, functional GGA-PBE.

a = 3.111 Å, b = 3.231 Å, c = 8.243 Å
α = 90.00°, β = 90.17°, γ = 90.00°
Space group P2/m (No. 10)
Unique sites:
Hg 0.002 0.000 0.220 x2
Os 0.500 0.500 0.000 x1
Cl 0.000 0.500 0.500 x1

## Properties
Theoretical density   12562 kg/m3
E_form (uncorrected)   0.6029 eV per atom



Crystalline KInAs2 at its relaxed geometry. Source: Alexandria via LeMat-Bulk, functional GGA-PBE.

a = 4.117 Å, b = 4.795 Å, c = 12.481 Å
α = 90.00°, β = 90.00°, γ = 90.00°
Space group Imm2 (No. 44)
Unique sites:
K 0.000 0.000 0.000 x2
In 0.000 0.500 0.228 x2
As 0.000 0.000 0.380 x2
As 0.000 0.500 0.758 x2

## Properties
Theoretical density   4094 kg/m3
DFT formation energy   -0.172 eV per atom



Crystalline Sc4Os3Au at its relaxed geometry. Source: Alexandria via LeMat-Bulk, functional GGA-PBE.

a = 4.575 Å, b = 4.575 Å, c = 6.590 Å
α = 90.00°, β = 90.00°, γ = 90.00°
Space group P4/mmm (No. 123)
Unique sites:
Sc 0.000 0.500 0.239 x4
Os 0.000 0.000 0.000 x1
Os 0.000 0.000 0.500 x1
Os 0.500 0.500 0.000 x1
Au 0.500 0.500 0.500 x1

## Properties
Theoretical density   11405 kg/m3
DFT formation energy   -0.493 eV per atom



Crystalline ZrZnSb2 at its relaxed geometry. Source: Alexandria via LeMat-Bulk, functional GGA-PBE.

a = 6.464 Å, b = 6.464 Å, c = 12.525 Å
α = 90.00°, β = 90.00°, γ = 90.00°
Space group I-42d (No. 122)
Unique sites:
Zr 0.000 0.000 0.000 x4
Zn 0.000 0.000 0.500 x4
Sb 0.233 0.250 0.625 x8

## Properties
Theoretical density   5079 kg/m3
E_form (uncorrected)   0.0187 eV per atom



Crystalline TlAs2Ru at its relaxed geometry. Source: Alexandria via LeMat-Bulk, functional GGA-PBE.

a = 6.688 Å, b = 6.688 Å, c = 6.688 Å
α = 90.00°, β = 90.00°, γ = 90.00°
Space group Fm-3m (No. 225)
Unique sites:
Tl 0.000 0.000 0.000 x4
As 0.250 0.250 0.250 x8
Ru 0.000 0.000 0.500 x4

## Properties
Theoretical density   10109 kg/m3
DFT formation energy   0.485 eV per atom



Crystalline K2NpScO4 at its relaxed geometry. Source: Alexandria via LeMat-Bulk, functional GGA-PBE.

a = 5.883 Å, b = 3.421 Å, c = 6.542 Å
α = 90.00°, β = 107.27°, γ = 90.00°
Space group P2/m (No. 10)
Unique sites:
K 0.000 0.000 0.000 x1
K 0.500 0.500 0.000 x1
Np 0.000 0.500 0.500 x1
Sc 0.500 0.000 0.500 x1
O 0.243 0.000 0.687 x2
O 0.285 0.500 0.319 x2

## Properties
Theoretical density   5602 kg/m3
E_form (uncorrected)   -2.4415 eV per atom



Crystalline Tb4TeS5 at its relaxed geometry. Source: Alexandria via LeMat-Bulk, functional GGA-PBE.

a = 17.389 Å, b = 4.059 Å, c = 8.454 Å
α = 90.00°, β = 107.70°, γ = 90.00°
Space group C2/m (No. 12)
Unique sites:
Tb 0.006 0.000 0.280 x4
Tb 0.189 0.500 0.135 x4
Te 0.000 0.500 0.000 x2
S 0.000 0.500 0.500 x2
S 0.160 0.000 0.886 x4
S 0.163 0.000 0.325 x4

## Properties
Theoretical density   5396 kg/m3
E_form (uncorrected)   -1.8654 eV per atom



Crystalline CdBiAs2 at its relaxed geometry. Source: Alexandria via LeMat-Bulk, functional GGA-PBE.

a = 6.340 Å, b = 6.340 Å, c = 12.948 Å
α = 90.00°, β = 90.00°, γ = 90.00°
Space group I-42d (No. 122)
Unique sites:
Cd 0.000 0.000 0.000 x4
Bi 0.000 0.000 0.500 x4
As 0.232 0.250 0.125 x8

## Properties
Theoretical density   6014 kg/m3
DFT formation energy   0.093 eV per atom



Crystalline La2TlCu at its relaxed geometry. Source: Alexandria via LeMat-Bulk, functional GGA-PBE.

a = 8.483 Å, b = 8.483 Å, c = 6.550 Å
α = 90.00°, β = 90.00°, γ = 90.00°
Space group I-42d (No. 122)
Unique sites:
La 0.199 0.250 0.125 x8
Tl 0.000 0.000 0.500 x4
Cu 0.000 0.000 0.000 x4

## Properties
Theoretical density   7690 kg/m3
DFT formation energy   -0.032 eV per atom



Crystalline GdDyTm2 at its relaxed geometry. Source: Alexandria via LeMat-Bulk, functional GGA-PBE.

a = 7.946 Å, b = 7.946 Å, c = 7.946 Å
α = 90.00°, β = 90.00°, γ = 90.00°
Space group Fm-3m (No. 225)
Unique sites:
Gd 0.000 0.000 0.000 x4
Dy 0.000 0.000 0.500 x4
Tm 0.250 0.250 0.250 x8

## Properties
Theoretical density   8708 kg/m3
DFT formation energy   0.114 eV per atom



Crystalline Zn2InSi at its relaxed geometry. Source: Alexandria via LeMat-Bulk, functional GGA-PBE.

a = 4.385 Å, b = 4.385 Å, c = 16.639 Å
α = 90.00°, β = 90.00°, γ = 90.00°
Space group I-42d (No. 122)
Unique sites:
Zn 0.199 0.250 0.125 x8
In 0.000 0.000 0.500 x4
Si 0.000 0.000 0.000 x4

## Properties
Theoretical density   5684 kg/m3
E_form (uncorrected)   0.2572 eV per atom



Crystalline Er3TcBi at its relaxed geometry. Source: Alexandria via LeMat-Bulk, functional GGA-PBE.

a = 14.205 Å, b = 5.040 Å, c = 8.458 Å
α = 90.00°, β = 115.36°, γ = 90.00°
Space group C2/m (No. 12)
Unique sites:
Er 0.074 0.000 0.219 x4
Er 0.100 0.500 0.857 x4
Er 0.230 0.000 0.736 x4
Tc 0.176 0.000 0.013 x4
Bi 0.130 0.500 0.490 x4

## Properties
Theoretical density   9818 kg/m3
DFT formation energy   -0.285 eV per atom



Crystalline YErZnCd at its relaxed geometry. Source: Alexandria via LeMat-Bulk, functional GGA-PBE.

a = 3.590 Å, b = 3.590 Å, c = 7.511 Å
α = 90.00°, β = 90.00°, γ = 90.00°
Space group P4mm (No. 99)
Unique sites:
Y 0.000 0.000 0.000 x1
Er 0.000 0.000 0.462 x1
Zn 0.500 0.500 0.237 x1
Cd 0.500 0.500 0.726 x1

## Properties
Theoretical density   7443 kg/m3
DFT formation energy   -0.345 eV per atom



Crystalline CuSb2AsI at its relaxed geometry. Source: Alexandria via LeMat-Bulk, functional GGA-PBE.

a = 5.147 Å, b = 5.147 Å, c = 5.115 Å
α = 90.00°, β = 90.00°, γ = 90.00°
Space group P4/mmm (No. 123)
Unique sites:
Cu 0.000 0.000 0.000 x1
Sb 0.000 0.500 0.000 x2
As 0.500 0.500 0.500 x1
I 0.000 0.000 0.500 x1

## Properties
Theoretical density   6236 kg/m3
E_form (uncorrected)   0.6537 eV per atom



Crystalline LiPrNi2 at its relaxed geometry. Source: Alexandria via LeMat-Bulk, functional GGA-PBE.

a = 4.1463 Å, b = 4.1463 Å, c = 14.3193 Å
α = 90.00°, β = 90.00°, γ = 120.00°
Space group R-3m (No. 166, hexagonal axes)
Unique sites:
Li 0.0000 0.0000 0.0000 x3
Pr 0.0000 0.0000 0.5000 x3
Ni 0.0000 0.0000 0.3015 x6

## Properties
Theoretical density   6198 kg/m3
DFT formation energy   -0.118 eV per atom



Crystalline InPS2O at its relaxed geometry. Source: Alexandria via LeMat-Bulk, functional GGA-PBE.

a = 4.903 Å, b = 4.903 Å, c = 5.255 Å
α = 90.00°, β = 90.00°, γ = 90.00°
Space group P4/mmm (No. 123)
Unique sites:
In 0.000 0.000 0.000 x1
P 0.000 0.000 0.500 x1
S 0.000 0.500 0.000 x2
O 0.500 0.500 0.500 x1

## Properties
Theoretical density   2970 kg/m3
E_form (uncorrected)   1.4896 eV per atom



Crystalline CdOsAu2 at its relaxed geometry. Source: Alexandria via LeMat-Bulk, functional GGA-PBE.

a = 6.559 Å, b = 6.559 Å, c = 6.559 Å
α = 90.00°, β = 90.00°, γ = 90.00°
Space group F-43m (No. 216)
Unique sites:
Cd 0.000 0.000 0.000 x4
Os 0.250 0.250 0.750 x4
Au 0.000 0.000 0.500 x4
Au 0.250 0.250 0.250 x4

## Properties
Theoretical density   16399 kg/m3
DFT formation energy   0.633 eV per atom



Crystalline In2HPdAu at its relaxed geometry. Source: Alexandria via LeMat-Bulk, functional GGA-PBE.

a = 5.103 Å, b = 5.103 Å, c = 3.331 Å
α = 90.00°, β = 90.00°, γ = 90.00°
Space group P4/mmm (No. 123)
Unique sites:
In 0.000 0.500 0.000 x2
H 0.000 0.000 0.000 x1
Pd 0.000 0.000 0.500 x1
Au 0.500 0.500 0.500 x1

## Properties
Theoretical density   10222 kg/m3
Energy   -3.530 eV/atom



Crystalline ThNbGe2Os at its relaxed geometry. Source: Alexandria via LeMat-Bulk, functional GGA-PBE.

a = 4.151 Å, b = 4.151 Å, c = 11.333 Å
α = 90.00°, β = 90.00°, γ = 90.00°
Space group I-4m2 (No. 119)
Unique sites:
Th 0.000 0.000 0.000 x2
Nb 0.000 0.500 0.750 x2
Ge 0.000 0.000 0.387 x4
Os 0.000 0.500 0.250 x2

## Properties
Theoretical density   11234 kg/m3
DFT formation energy   -0.421 eV per atom



Crystalline YMgAs at its relaxed geometry. Source: Alexandria via LeMat-Bulk, functional GGA-PBE.

a = 4.095 Å, b = 4.102 Å, c = 8.355 Å
α = 90.00°, β = 90.00°, γ = 90.00°
Space group Pmmn (No. 59, origin choice 2)
Unique sites:
Y 0.250 0.250 0.157 x2
Mg 0.250 0.750 0.499 x2
As 0.250 0.250 0.806 x2

## Properties
Theoretical density   4452 kg/m3
DFT formation energy   -0.874 eV per atom



Crystalline PHPtCl2 at its relaxed geometry. Source: Alexandria via LeMat-Bulk, functional GGA-PBE.

a = 5.124 Å, b = 5.124 Å, c = 4.451 Å
α = 90.00°, β = 90.00°, γ = 90.00°
Space group P4/mmm (No. 123)
Unique sites:
P 0.000 0.000 0.000 x1
H 0.500 0.500 0.000 x1
Pt 0.000 0.000 0.500 x1
Cl 0.000 0.500 0.500 x2

## Properties
Theoretical density   4234 kg/m3
Energy   -3.121 eV/atom



Crystalline Tb2CeCo2 at its relaxed geometry. Source: Alexandria via LeMat-Bulk, functional GGA-PBE.

a = 3.663 Å, b = 6.066 Å, c = 9.621 Å
α = 90.00°, β = 90.00°, γ = 90.00°
Space group Immm (No. 71)
Unique sites:
Tb 0.000 0.000 0.191 x4
Ce 0.000 0.500 0.000 x2
Co 0.000 0.293 0.500 x4

## Properties
Theoretical density   8945 kg/m3
DFT formation energy   -0.231 eV per atom



Crystalline KNdInHg at its relaxed geometry. Source: Alexandria via LeMat-Bulk, functional GGA-PBE.

a = 7.899 Å, b = 7.899 Å, c = 7.899 Å
α = 90.00°, β = 90.00°, γ = 90.00°
Space group F-43m (No. 216)
Unique sites:
K 0.000 0.000 0.000 x4
Nd 0.000 0.000 0.500 x4
In 0.250 0.250 0.250 x4
Hg 0.250 0.250 0.750 x4

## Properties
Theoretical density   6721 kg/m3
DFT formation energy   -0.161 eV per atom



Crystalline BaSr6Mg at its relaxed geometry. Source: Alexandria via LeMat-Bulk, functional GGA-PBE.

a = 7.460 Å, b = 7.463 Å, c = 7.466 Å
α = 89.91°, β = 89.82°, γ = 89.94°
Space group P-1 (No. 2)
Unique sites:
Ba 0.000 0.000 0.000 x1
Sr 0.002 0.500 0.745 x2
Sr 0.255 0.999 0.499 x2
Sr 0.500 0.255 0.999 x2
Mg 0.500 0.500 0.500 x1

## Properties
Theoretical density   2746 kg/m3
DFT formation energy   0.084 eV per atom